This record from Alexandria via LeMat-Bulk describes an optimized crystal structure of SbP2RhO. The functional is PBE.

## Properties
Polymorph energy (0 for the lowest one) ... 0 meV/atom
Magnetization ... 0.0 μB/f.u.
Energy ... -26.47 eV/cell
Crystal system ... tetragonal

Unit cell a=4.8797 b=4.8797 c=3.7166 alpha=90.00 beta=90.00 gamma=90.00
With the nearest neighbours (Å) after each atom.
Atoms (fractional coordinates):
O 0.0000 0.0000 0.5000  2 Rh 1.86
Sb 0.5000 0.5000 0.5000  8 P 3.07
Rh 0.0000 0.0000 0.0000  2 O 1.86
P 0.5000 0.0000 0.0000  2 Rh 2.44
P 0.0000 0.5000 0.0000  2 Rh 2.44